NaThGa2: optimized geometry, GGA-PBE.

## Properties
Total magnetization, μB/f.u.: 0.00
DFT total energy, eV for the cell shown: -15.6
Density of states at the Fermi level, states/eV/f.u.: 3.32
ΔE_f, kJ/mol of atoms: -18.3

Cell: 3.3198 5.4144 5.4144 Å, 90.00 90.00 90.00°
Last column: nearest neighbours and their distance in Å.
Sites, in units of the cell vectors:
Na1 0.5000 0.5000 0.5000  8 Ga 3.18, 2 Na 3.32
Ga1 0.0000 0.0000 0.5000  4 Th 3.18, 4 Na 3.18, 2 Ga 3.32
Ga2 0.0000 0.5000 0.0000  4 Th 3.18, 4 Na 3.18, 2 Ga 3.32
Th1 0.5000 0.0000 0.0000  8 Ga 3.18, 2 Th 3.32

HgBi2P: optimized geometry, GGA-PBE.

## Properties
Total magnetization, μB/f.u.: 0.00
DFT total energy, eV for the cell shown: -24.6
Density of states at the Fermi level, states/eV/f.u.: 2.49
ΔE_f, kJ/mol of atoms: 28.3
Relative energy among the computed polymorphs, kcal/mol of atoms: 3.334

Cell: 6.6075 6.6075 8.0982 Å, 65.92 65.92 90.00°
Last column: nearest neighbours and their distance in Å.
Sites, in units of the cell vectors:
P1 0.5000 0.5000 0.0000  4 Bi 2.76
P2 0.2500 0.7500 0.5000  4 Bi 2.76
Bi1 0.5966 0.1250 0.2500  2 P 2.76, 2 Hg 2.97
Bi2 0.1534 0.6250 0.2500  2 P 2.76, 2 Hg 2.97
Bi3 0.3750 0.4034 0.7500  2 P 2.76, 2 Hg 2.97
Bi4 0.8750 0.8466 0.7500  2 P 2.76, 2 Hg 2.97
Hg1 0.0000 0.0000 0.0000  4 Bi 2.97
Hg2 0.7500 0.2500 0.5000  4 Bi 2.97

Pr4As2AuSe: optimized geometry, GGA-PBE.

## Properties
Total magnetization, μB/f.u.: 0.00
DFT total energy, eV for the cell shown: -46.4
ΔE_f (raw), eV/atom: -1.398
Density of states at the Fermi level, states/eV/f.u.: 5.14

Cell: 4.2928 7.4577 7.4990 Å, 71.08 90.00 90.00°
Last column: nearest neighbours and their distance in Å.
Sites, in units of the cell vectors:
Pr1 0.0000 0.7623 0.7411  3 As 2.99-3.02, 1 Se 3.06, 2 Au 3.12
Pr2 0.0000 0.2377 0.2589  3 As 2.99-3.02, 1 Se 3.06, 2 Au 3.12
Pr3 0.5000 0.7612 0.2500  3 As 2.98-3.02, 2 Se 3.09, 1 Au 3.11
Pr4 0.5000 0.2388 0.7500  3 As 2.98-3.02, 2 Se 3.09, 1 Au 3.11
As1 0.0000 0.0000 0.0000  6 Pr 3.02
As2 0.5000 0.0000 0.5000  6 Pr 2.98-2.99
Au1 0.5000 0.5000 0.0000  6 Pr 3.11-3.12
Se1 0.0000 0.5000 0.5000  6 Pr 3.06-3.09

NaAs2CBr: optimized geometry, GGA-PBE.

## Properties
Total magnetization, μB/f.u.: 0.96
DFT total energy, eV for the cell shown: -11.0
ΔE_f (raw), eV/atom: 2.111
Density of states at the Fermi level, states/eV/f.u.: 8.60
Relative energy among the computed polymorphs, kcal/mol of atoms: 36.892

Cell: 5.1964 5.1964 5.1604 Å, 90.00 90.00 90.00°
Last column: nearest neighbours and their distance in Å.
Sites, in units of the cell vectors:
Na1 0.0000 0.0000 0.0000  2 Br 2.58, 4 As 2.60
As1 0.0000 0.5000 0.0000  2 Na 2.60
As2 0.5000 0.0000 0.0000  2 Na 2.60
C1 0.5000 0.5000 0.5000  8 As 3.66, 4 Br 3.67
Br1 0.0000 0.0000 0.5000  2 Na 2.58

CoSiSe: optimized geometry, GGA-PBE.

## Properties
Total magnetization, μB/f.u.: 0.75
DFT total energy, eV for the cell shown: -15.5
ΔE_f (raw), eV/atom: 0.183
Density of states at the Fermi level, states/eV/f.u.: 2.80

Cell: 5.9364 5.9365 2.8562 Å, 76.08 76.08 27.84°
Last column: nearest neighbours and their distance in Å.
Sites, in units of the cell vectors:
Co1 0.9934 0.9934 0.0066  4 Si 2.44, 4 Se 2.57
Se1 0.6361 0.6361 0.3639  4 Co 2.57, 4 Se 2.86
Si1 0.3705 0.3705 0.6295  4 Co 2.44

Fe2OsW2: optimized geometry, GGA-PBE.

## Properties
Total magnetization, μB/f.u.: 0.00
DFT total energy, eV for the cell shown: -106.3
Density of states at the Fermi level, states/eV/f.u.: 4.21
ΔE_f, kJ/mol of atoms: 17.1

Cell: 6.8028 6.8028 2.9230 Å, 90.00 90.00 90.00°
Last column: nearest neighbours and their distance in Å.
Sites, in units of the cell vectors:
Os1 0.0000 0.0000 0.0000  4 Fe 2.69, 8 W 2.90, 2 Os 2.92
Os2 0.5000 0.5000 0.0000  4 Fe 2.69, 8 W 2.90, 2 Os 2.92
Fe1 0.3743 0.8743 0.0000  6 W 2.41-2.54, 1 Fe 2.42, 2 Os 2.69
Fe2 0.8743 0.6257 0.0000  6 W 2.41-2.54, 1 Fe 2.42, 2 Os 2.69
Fe3 0.6257 0.1257 0.0000  6 W 2.41-2.54, 1 Fe 2.42, 2 Os 2.69
Fe4 0.1257 0.3743 0.0000  6 W 2.41-2.54, 1 Fe 2.42, 2 Os 2.69
W1 0.1755 0.6755 0.5000  6 Fe 2.41-2.54
W2 0.6755 0.8245 0.5000  6 Fe 2.41-2.54
W3 0.8245 0.3245 0.5000  6 Fe 2.41-2.54
W4 0.3245 0.1755 0.5000  6 Fe 2.41-2.54

NbZnNiPt: optimized geometry, GGA-PBE.

## Properties
Total magnetization, μB/f.u.: 0.00
DFT total energy, eV for the cell shown: -24.6
Density of states at the Fermi level, states/eV/f.u.: 4.09
ΔE_f, kJ/mol of atoms: -34.0

Cell: 4.3847 4.3847 4.3847 Å, 60.00 60.00 60.00°
Last column: nearest neighbours and their distance in Å.
Sites, in units of the cell vectors:
Ni1 0.2500 0.2500 0.2500  4 Nb 2.69, 4 Zn 2.69
Nb1 0.0000 0.0000 0.0000  4 Ni 2.69, 4 Pt 2.69
Zn1 0.5000 0.5000 0.5000  4 Ni 2.69, 4 Pt 2.69
Pt1 0.7500 0.7500 0.7500  4 Nb 2.69, 4 Zn 2.69

OsRhSe4: optimized geometry, GGA-PBE.

## Properties
Total magnetization, μB/f.u.: 0.00
DFT total energy, eV for the cell shown: -68.6
ΔE_f (raw), eV/atom: -0.293
Density of states at the Fermi level, states/eV/f.u.: 3.63
Relative energy among the computed polymorphs, kcal/mol of atoms: 0.000

Cell: 6.0568 6.0583 6.0416 Å, 90.00 90.21 90.00°
Last column: nearest neighbours and their distance in Å.
Sites, in units of the cell vectors:
Os1 0.5000 0.0000 0.5000  6 Se 2.48-2.50
Os2 0.0000 0.5000 0.5000  6 Se 2.48-2.50
Rh1 0.0000 0.0000 0.0000  6 Se 2.52-2.54
Rh2 0.5000 0.5000 0.0000  6 Se 2.52-2.54
Se1 0.8798 0.6224 0.1272  1 Os 2.48, 2 Rh 2.52-2.53, 1 Se 2.59
Se2 0.6202 0.1224 0.8728  1 Os 2.48, 2 Rh 2.52-2.53, 1 Se 2.59
Se3 0.3728 0.3736 0.3801  2 Os 2.49-2.50, 1 Rh 2.54, 1 Se 2.61
Se4 0.1272 0.8736 0.6199  2 Os 2.49-2.50, 1 Rh 2.54, 1 Se 2.61
Se5 0.1202 0.3776 0.8728  1 Os 2.48, 2 Rh 2.52-2.53, 1 Se 2.59
Se6 0.3798 0.8776 0.1272  1 Os 2.48, 2 Rh 2.52-2.53, 1 Se 2.59
Se7 0.6272 0.6264 0.6199  2 Os 2.49-2.50, 1 Rh 2.54, 1 Se 2.61
Se8 0.8728 0.1264 0.3801  2 Os 2.49-2.50, 1 Rh 2.54, 1 Se 2.61

Tl8SeCl6: optimized geometry, GGA-PBE.

## Properties
Total magnetization, μB/f.u.: 0.00
DFT total energy, eV for the cell shown: -45.8
ΔE_f (raw), eV/atom: -0.823
Density of states at the Fermi level, states/eV/f.u.: 0.00

Cell: 8.3977 8.3977 8.3977 Å, 104.99 104.99 104.99°
Last column: nearest neighbours and their distance in Å.
Sites, in units of the cell vectors:
Tl1 0.3195 0.3195 0.3195  3 Cl 3.07, 1 Se 3.23
Tl2 0.6805 0.6805 0.6805  3 Cl 3.07, 1 Se 3.23
Tl3 0.2008 0.3350 0.8888  3 Cl 3.06-3.35, 1 Se 3.37
Tl4 0.8888 0.2008 0.3350  3 Cl 3.06-3.35, 1 Se 3.37
Tl5 0.3350 0.8888 0.2008  3 Cl 3.06-3.35, 1 Se 3.37
Tl6 0.7992 0.6650 0.1112  3 Cl 3.06-3.35, 1 Se 3.37
Tl7 0.1112 0.7992 0.6650  3 Cl 3.06-3.35, 1 Se 3.37
Tl8 0.6650 0.1112 0.7992  3 Cl 3.06-3.35, 1 Se 3.37
Se1 0.0000 0.0000 0.0000  8 Tl 3.23-3.37
Cl1 0.5789 0.2776 0.1260  4 Tl 3.06-3.35
Cl2 0.1260 0.5789 0.2776  4 Tl 3.06-3.35
Cl3 0.2776 0.1260 0.5789  4 Tl 3.06-3.35
Cl4 0.4211 0.7224 0.8740  4 Tl 3.06-3.35
Cl5 0.8740 0.4211 0.7224  4 Tl 3.06-3.35
Cl6 0.7224 0.8740 0.4211  4 Tl 3.06-3.35

TcSnRu3: optimized geometry, GGA-PBE.

## Properties
Total magnetization, μB/f.u.: 0.79
DFT total energy, eV for the cell shown: -35.4
Density of states at the Fermi level, states/eV/f.u.: 6.21
ΔE_f, kJ/mol of atoms: 131.3
Relative energy among the computed polymorphs, kcal/mol of atoms: 0.000

Cell: 4.7334 4.7334 4.7334 Å, 90.00 90.00 90.00°
Last column: nearest neighbours and their distance in Å.
Sites, in units of the cell vectors:
Ru1 0.0000 0.5000 0.0000  2 Tc 2.37
Ru2 0.0000 0.0000 0.5000  2 Tc 2.37
Ru3 0.5000 0.0000 0.0000  2 Tc 2.37
Sn1 0.5000 0.5000 0.5000  12 Ru 3.35
Tc1 0.0000 0.0000 0.0000  6 Ru 2.37

- Number 2 is which compound?
  HgBi2P